Na2HoCrO4 after structural relaxation, computed with PBE+U.

Lattice parameters (Å, degrees): 5.5483 3.2447 5.8196 90.00 108.85 90.00
Atoms (fractional coordinates):
Na: 0.0000 0.0000 0.0000
Na: 0.5000 0.5000 0.0000
Ho: 0.0000 0.5000 0.5000
Cr: 0.5000 0.0000 0.5000
O: 0.2562 0.0000 0.7090
O: 0.2852 0.5000 0.2981
O: 0.7148 0.5000 0.7019
O: 0.7438 0.0000 0.2910

Output
* space group: P2/m (10)
* E_tot: -6.63 eV/atom